## ZrUOs (PBE-GGA)

Data for ZrUOs after structural relaxation.

Results
Mass density: 13.244 Mg/m³
SG: I4mm
Energy above the most stable polymorph in this dataset: 107 kJ/mol of formula units
DOS at the Fermi energy: 4.9 states/eV/f.u.
Energy: -29.03 eV/cell
Crystal system: tetragonal

a b c (Å): 2.998 2.998 7.549
angles (deg): 101.45 101.45 90.00
Positions (direct):
Os: 0.136 0.136 0.271
U: 0.759 0.759 0.518
Zr: 0.955 0.955 0.910

---

## Sm3Er3TmS8 (PBE-GGA)

Data for Sm3Er3TmS8 after structural relaxation.

Results
Mass density: 6.689 Mg/m³
SG: R-3m
Formation energy without anion corrections: -2045 meV/atom
DOS at the Fermi energy: 6.7 states/eV/f.u.
Energy: -96.02 eV/cell
Crystal system: trigonal

a b c (Å): 7.818 7.818 7.884
angles (deg): 119.73 90.00 120.00
Positions (direct):
Sm: 0.000 0.000 0.000
Sm: 0.000 0.500 0.000
Sm: 0.500 0.500 0.000
Er: 0.500 0.000 0.500
Er: 0.500 0.500 0.500
Er: 0.000 0.500 0.500
Tm: 0.000 0.000 0.500
S: 0.254 0.509 0.263
S: 0.746 0.491 0.737
S: 0.754 0.507 0.262
S: 0.246 0.493 0.738
S: 0.754 0.009 0.262
S: 0.246 0.991 0.738
S: 0.255 0.009 0.262
S: 0.745 0.991 0.738

---

## CsGaSbI2 (PBE-GGA)

Data for CsGaSbI2 after structural relaxation.

Results
Mass density: 2.573 Mg/m³
SG: P4/mmm
Formation energy without anion corrections: 290 meV/atom
Energy above the most stable polymorph in this dataset: 346 kJ/mol of formula units
Energy: -9.65 eV/cell
Crystal system: tetragonal

a b c (Å): 7.233 7.233 7.134
angles (deg): 90.00 90.00 90.00
Positions (direct):
Cs: 0.000 0.000 0.000
I: 0.000 0.500 0.000
I: 0.500 0.000 0.000
Ga: 0.500 0.500 0.500
Sb: 0.000 0.000 0.500

---

## In2HgBi2Pb (PBE-GGA)

Data for In2HgBi2Pb after structural relaxation.

Results
Mass density: 9.752 Mg/m³
SG: Pmc2_1
DOS at the Fermi energy: 2.0 states/eV/f.u.
Energy: -34.04 eV/cell
Crystal system: orthorhombic

a b c (Å): 5.435 6.710 9.855
angles (deg): 90.00 90.00 90.00
Positions (direct):
In: 0.000 0.401 0.804
In: 0.500 0.156 0.368
In: 0.000 0.901 0.196
In: 0.500 0.656 0.632
Hg: 0.000 0.920 0.508
Hg: 0.000 0.420 0.492
Bi: 0.500 0.027 0.041
Bi: 0.000 0.393 0.162
Bi: 0.500 0.527 0.959
Bi: 0.000 0.893 0.838
Pb: 0.500 0.148 0.705
Pb: 0.500 0.648 0.295

---

> Which formula does entry 4 have?

In2HgBi2Pb

---

Copy entry 1 word for word.
## ZrUOs (PBE-GGA)

Data for ZrUOs after structural relaxation.

Results
Mass density: 13.244 Mg/m³
SG: I4mm
Energy above the most stable polymorph in this dataset: 107 kJ/mol of formula units
DOS at the Fermi energy: 4.9 states/eV/f.u.
Energy: -29.03 eV/cell
Crystal system: tetragonal

a b c (Å): 2.998 2.998 7.549
angles (deg): 101.45 101.45 90.00
Positions (direct):
Os: 0.136 0.136 0.271
U: 0.759 0.759 0.518
Zr: 0.955 0.955 0.910

---

> What is the mass density in the first record?

13.244 Mg/m³

---

> Which of these has the highest energy?

CsGaSbI2